[1]
# PBE Zr2Mo3, optimized geometry
data_Zr2Mo3
_chemical_formula_sum 'Zr2 Mo3'
_symmetry_space_group_name_H-M 'P 1'
_symmetry_Int_Tables_number 1
_cell_length_a 4.375
_cell_length_b 4.375
_cell_length_c 6.157
_cell_angle_alpha 90.00
_cell_angle_beta 90.00
_cell_angle_gamma 120.00
loop_
_symmetry_equiv_pos_as_xyz
'x,y,z'
loop_
_atom_site_label
_atom_site_fract_x
_atom_site_fract_y
_atom_site_fract_z
_atom_site_occupancy
Zr1 0.333 0.667 0.341 1
Zr2 0.667 0.333 0.659 1
Mo1 0.000 0.000 0.500 1
Mo2 0.333 0.667 0.893 1
Mo3 0.667 0.333 0.107 1
# Crystal system: trigonal
# ΔE_f, eV/f.u.: 4.15

***

[2]
# PBE LaTbY5, optimized geometry
data_LaTbY5
_chemical_formula_sum 'La2 Tb2 Y10'
_symmetry_space_group_name_H-M 'P 1'
_symmetry_Int_Tables_number 1
_cell_length_a 8.938
_cell_length_b 8.938
_cell_length_c 10.702
_cell_angle_alpha 123.93
_cell_angle_beta 123.93
_cell_angle_gamma 43.65
loop_
_symmetry_equiv_pos_as_xyz
'x,y,z'
loop_
_atom_site_label
_atom_site_fract_x
_atom_site_fract_y
_atom_site_fract_z
_atom_site_occupancy
La1 0.018 0.982 0.750 1
La2 0.982 0.018 0.250 1
Tb1 0.000 0.500 0.500 1
Tb2 0.500 0.000 0.000 1
Y1 0.080 0.574 0.912 1
Y2 0.163 0.662 0.406 1
Y3 0.338 0.837 0.094 1
Y4 0.426 0.920 0.588 1
Y5 0.487 0.513 0.750 1
Y6 0.513 0.487 0.250 1
Y7 0.574 0.080 0.412 1
Y8 0.662 0.163 0.906 1
Y9 0.837 0.338 0.594 1
Y10 0.920 0.426 0.088 1
# Crystal system: monoclinic
# ΔE_f, eV/f.u.: 1.30

***

[3]
# PBE Zn2Cu7SiGe2, optimized geometry
data_Zn2Cu7SiGe2
_chemical_formula_sum 'Zn2 Cu7 Si1 Ge2'
_symmetry_space_group_name_H-M 'P 1'
_symmetry_Int_Tables_number 1
_cell_length_a 3.505
_cell_length_b 3.505
_cell_length_c 14.055
_cell_angle_alpha 96.76
_cell_angle_beta 96.76
_cell_angle_gamma 90.02
loop_
_symmetry_equiv_pos_as_xyz
'x,y,z'
loop_
_atom_site_label
_atom_site_fract_x
_atom_site_fract_y
_atom_site_fract_z
_atom_site_occupancy
Zn1 0.134 0.134 0.273 1
Zn2 0.866 0.866 0.727 1
Cu1 0.000 0.000 0.000 1
Cu2 0.064 0.565 0.135 1
Cu3 0.228 0.228 0.455 1
Cu4 0.435 0.936 0.865 1
Cu5 0.565 0.064 0.135 1
Cu6 0.772 0.772 0.545 1
Cu7 0.936 0.435 0.865 1
Si1 0.500 0.500 0.000 1
Ge1 0.317 0.317 0.633 1
Ge2 0.683 0.683 0.367 1
# Crystal system: monoclinic
# Total energy, eV for the cell shown: -44.66

***

[4]
# PBE Th2SiSn, optimized geometry
data_Th2SiSn
_chemical_formula_sum 'Th2 Si1 Sn1'
_symmetry_space_group_name_H-M 'P 1'
_symmetry_Int_Tables_number 1
_cell_length_a 7.728
_cell_length_b 7.728
_cell_length_c 7.728
_cell_angle_alpha 32.73
_cell_angle_beta 32.73
_cell_angle_gamma 32.73
loop_
_symmetry_equiv_pos_as_xyz
'x,y,z'
loop_
_atom_site_label
_atom_site_fract_x
_atom_site_fract_y
_atom_site_fract_z
_atom_site_occupancy
Th1 0.243 0.243 0.243 1
Th2 0.757 0.757 0.757 1
Si1 0.500 0.500 0.500 1
Sn1 0.000 0.000 0.000 1
# Crystal system: trigonal
# Total energy, eV for the cell shown: -26.47

***

[5]
# PBE TiAg2Os, optimized geometry
data_TiAg2Os
_chemical_formula_sum 'Ti2 Ag4 Os2'
_symmetry_space_group_name_H-M 'P 1'
_symmetry_Int_Tables_number 1
_cell_length_a 10.496
_cell_length_b 10.496
_cell_length_c 10.496
_cell_angle_alpha 159.67
_cell_angle_beta 159.67
_cell_angle_gamma 28.90
loop_
_symmetry_equiv_pos_as_xyz
'x,y,z'
loop_
_atom_site_label
_atom_site_fract_x
_atom_site_fract_y
_atom_site_fract_z
_atom_site_occupancy
Ti1 0.000 0.000 0.000 1
Ti2 0.750 0.250 0.500 1
Ag1 0.129 0.625 0.004 1
Ag2 0.375 0.379 0.504 1
Ag3 0.621 0.125 0.996 1
Ag4 0.875 0.871 0.496 1
Os1 0.250 0.750 0.500 1
Os2 0.500 0.500 0.000 1
# Crystal system: tetragonal
# ΔE_f, eV/f.u.: 1.95

***

[6]
# PBE AsRu, optimized geometry
data_AsRu
_chemical_formula_sum 'As4 Ru4'
_symmetry_space_group_name_H-M 'P 1'
_symmetry_Int_Tables_number 1
_cell_length_a 7.591
_cell_length_b 6.881
_cell_length_c 5.863
_cell_angle_alpha 72.63
_cell_angle_beta 59.89
_cell_angle_gamma 47.49
loop_
_symmetry_equiv_pos_as_xyz
'x,y,z'
loop_
_atom_site_label
_atom_site_fract_x
_atom_site_fract_y
_atom_site_fract_z
_atom_site_occupancy
As1 0.078 0.672 0.078 1
As2 0.328 0.922 0.328 1
As3 0.672 0.078 0.672 1
As4 0.922 0.328 0.922 1
Ru1 0.002 0.002 0.248 1
Ru2 0.248 0.248 0.002 1
Ru3 0.752 0.752 0.998 1
Ru4 0.998 0.998 0.752 1
# Crystal system: orthorhombic
# ΔE_f, eV/f.u.: -0.05

***

[7]
# PBE CuP2Pb2, optimized geometry
data_CuP2Pb2
_chemical_formula_sum 'Cu1 P2 Pb2'
_symmetry_space_group_name_H-M 'P 1'
_symmetry_Int_Tables_number 1
_cell_length_a 9.590
_cell_length_b 9.590
_cell_length_c 9.590
_cell_angle_alpha 159.51
_cell_angle_beta 159.51
_cell_angle_gamma 29.13
loop_
_symmetry_equiv_pos_as_xyz
'x,y,z'
loop_
_atom_site_label
_atom_site_fract_x
_atom_site_fract_y
_atom_site_fract_z
_atom_site_occupancy
Cu1 0.000 0.000 0.000 1
P1 0.250 0.750 0.500 1
P2 0.750 0.250 0.500 1
Pb1 0.404 0.404 0.000 1
Pb2 0.596 0.596 0.000 1
# Crystal system: tetragonal
# ΔE_f, eV/f.u.: 1.42

***

[8]
# PBE OsRh2Cl, optimized geometry
data_OsRh2Cl
_chemical_formula_sum 'Os2 Rh4 Cl2'
_symmetry_space_group_name_H-M 'P 1'
_symmetry_Int_Tables_number 1
_cell_length_a 6.147
_cell_length_b 6.147
_cell_length_c 6.147
_cell_angle_alpha 120.10
_cell_angle_beta 120.10
_cell_angle_gamma 89.83
loop_
_symmetry_equiv_pos_as_xyz
'x,y,z'
loop_
_atom_site_label
_atom_site_fract_x
_atom_site_fract_y
_atom_site_fract_z
_atom_site_occupancy
Os1 0.000 0.000 0.000 1
Os2 0.750 0.250 0.500 1
Rh1 0.108 0.625 0.983 1
Rh2 0.375 0.358 0.483 1
Rh3 0.642 0.125 0.017 1
Rh4 0.875 0.892 0.517 1
Cl1 0.250 0.750 0.500 1
Cl2 0.500 0.500 0.000 1
# Crystal system: tetragonal
# Total energy, eV for the cell shown: -48.77

***

Volume for every record listed, in sequence, given in Å³/atom: 20.41, 33.68, 14.19, 30.00, 17.43, 24.36, 21.60, 20.50.
DOS(E_F) for every record listed, in sequence, given in states/eV per cell: 5.4, 22.5, 5.8, 2.2, 4.9, 3.7, 2.8, 3.5.
M_tot for every record listed, in sequence, given in μB per formula unit: 0.00, 0.00, 0.00, 0.00, 0.00, 0.00, 0.00, 0.00.